[1]
Computed, not measured: a relaxed structure of Pr6Hg2TeSe3 at the GGA-PBE level of DFT.

Computed properties:
DFT total energy = -58.56 eV per formula unit

a = 9.975 Å, b = 9.975 Å, c = 9.020 Å
α = 107.16°, β = 107.16°, γ = 24.72°
Positions (direct):
Pr: 0.000 0.000 0.235
Pr: 0.000 0.000 0.765
Pr: 0.329 0.329 0.414
Pr: 0.341 0.341 0.892
Pr: 0.659 0.659 0.108
Pr: 0.671 0.671 0.586
Hg: 0.175 0.175 0.857
Hg: 0.825 0.825 0.143
Te: 0.500 0.500 0.500
Se: 0.163 0.163 0.345
Se: 0.500 0.500 0.000
Se: 0.837 0.837 0.655

***

[2]
Computed, not measured: a relaxed structure of Pr8HgTe4Se3 at the GGA-PBE level of DFT.

Computed properties:
DFT total energy = -85.42 eV per formula unit

a = 8.796 Å, b = 8.796 Å, c = 8.927 Å
α = 119.52°, β = 119.52°, γ = 60.00°
Positions (direct):
Pr: 0.239 0.747 0.732
Pr: 0.240 0.240 0.721
Pr: 0.253 0.761 0.268
Pr: 0.254 0.254 0.269
Pr: 0.746 0.746 0.731
Pr: 0.747 0.239 0.732
Pr: 0.760 0.760 0.279
Pr: 0.761 0.253 0.268
Hg: 0.500 0.500 0.500
Te: 0.000 0.000 0.000
Te: 0.000 0.500 0.000
Te: 0.500 0.000 0.000
Te: 0.500 0.500 0.000
Se: 0.000 0.000 0.500
Se: 0.000 0.500 0.500
Se: 0.500 0.000 0.500

***

[3]
Computed, not measured: a relaxed structure of Pr6HgTe3Se2 at the GGA-PBE level of DFT.

Computed properties:
DFT total energy = -62.53 eV per formula unit

a = 7.631 Å, b = 7.631 Å, c = 7.768 Å
α = 99.39°, β = 99.39°, γ = 119.83°
Positions (direct):
Pr: 0.082 0.423 0.766
Pr: 0.236 0.236 0.230
Pr: 0.423 0.082 0.766
Pr: 0.577 0.918 0.234
Pr: 0.764 0.764 0.770
Pr: 0.918 0.577 0.234
Hg: 0.500 0.500 0.000
Te: 0.000 0.000 0.500
Te: 0.336 0.664 0.500
Te: 0.664 0.336 0.500
Se: 0.167 0.833 0.000
Se: 0.833 0.167 0.000